(1)
Entry from Alexandria: a relaxed structure of TlInPbI4 (PBE-GGA).

Cell lengths 9.6189, 9.6189, 9.6189 Å; angles 141.30, 141.30, 55.89 degrees
Closest atoms and distances in Å follow each position.
Atoms (fractional coordinates):
Tl: 0.0000 0.0000 0.0000  1 I 3.26
In: 0.7467 0.7467 0.0000  1 I 3.07
Pb: 0.3756 0.3756 0.0000  6 I 3.12-3.23
I: 0.1918 0.1918 0.0000  1 Pb 3.12, 1 Tl 3.26
I: 0.3805 0.8805 0.5000  2 Pb 3.19
I: 0.5659 0.5659 0.0000  1 In 3.07, 1 Pb 3.23
I: 0.8805 0.3805 0.5000  2 Pb 3.19

Values from the calculation:
The value obtained for the raw formation energy is -0.5064 eV per atom. Its crystal system is tetragonal.

=====

(2)
Entry from Alexandria: a relaxed structure of TlIn2PbI5 (PBE-GGA).

Cell lengths 10.4697, 10.4697, 17.8710 Å; angles 90.00, 90.00, 153.98 degrees
Closest atoms and distances in Å follow each position.
Atoms (fractional coordinates):
Tl: 0.0615 0.9385 0.5000  5 I 3.40-3.56
Tl: 0.9385 0.0615 0.0000  5 I 3.40-3.56
In: 0.3583 0.6417 0.3167  5 I 3.36-3.72
In: 0.4381 0.5619 0.7162  6 I 3.43-3.64
In: 0.5619 0.4381 0.2162  6 I 3.43-3.64
In: 0.6417 0.3583 0.8167  5 I 3.36-3.72
Pb: 0.2474 0.7526 0.0996  6 I 3.18-3.33
Pb: 0.7526 0.2474 0.5996  6 I 3.18-3.33
I: 0.0246 0.9754 0.8284  4 In 3.36-3.56, 1 Tl 3.53
I: 0.0922 0.9078 0.0814  1 Pb 3.18, 2 In 3.43, 1 Tl 3.46
I: 0.2348 0.7652 0.4750  2 Pb 3.26, 1 Tl 3.56
I: 0.2602 0.7398 0.7295  2 Pb 3.31, 1 In 3.64
I: 0.4078 0.5922 0.1325  1 Pb 3.33, 2 Tl 3.40, 2 In 3.44-3.48
I: 0.5922 0.4078 0.6325  1 Pb 3.33, 2 Tl 3.40, 2 In 3.44-3.48
I: 0.7398 0.2602 0.2295  2 Pb 3.31, 1 In 3.64
I: 0.7652 0.2348 0.9750  2 Pb 3.26, 1 Tl 3.56
I: 0.9078 0.0922 0.5814  1 Pb 3.18, 2 In 3.43, 1 Tl 3.46
I: 0.9754 0.0246 0.3284  4 In 3.36-3.56, 1 Tl 3.53

Values from the calculation:
The value obtained for the raw formation energy is -0.5426 eV per atom. Its crystal system is orthorhombic.

=====

| no. | density of states at the Fermi level (states/eV per atom) |
| --- | --- |
| 1 | 0.00 |
| 2 | 0.00 |